[1]
This record from Alexandria via LeMat-Bulk describes a crystal of Sm2ZnIn relaxed with PBEsol. The functional is SCAN.

a b c (Å): 5.215 5.215 5.215
angles (deg): 60.00 60.00 60.00
Sites, in units of the cell vectors:
1 Sm 0.250 0.250 0.250
2 Sm 0.750 0.750 0.750
3 In 0.000 0.000 0.000
4 Zn 0.500 0.500 0.500

Computed properties:
magnetic moment	0.00	μB/f.u.
symmetry	Fm-3m, No. 225
formation enthalpy at 0 K	-0.5134	eV per atom

[2]
This record from Alexandria via LeMat-Bulk describes a crystal of FeCu2Tc relaxed with PBEsol. The functional is SCAN.

a b c (Å): 2.495 4.370 4.587
angles (deg): 97.40 90.00 106.58
Sites, in units of the cell vectors:
1 Cu 0.997 0.995 0.979
2 Cu 0.249 0.498 0.767
3 Tc 0.750 0.500 0.273
4 Fe 0.504 0.007 0.482

Computed properties:
excess energy over the best structure of this formula in the dataset	44.4	meV per atom
magnetic moment	2.40	μB/f.u.
symmetry	Cm, No. 8
formation enthalpy at 0 K	0.2106	eV per atom

[3]
This record from Alexandria via LeMat-Bulk describes a crystal of Ba5Cr3O12F relaxed with PBEsol. The functional is SCAN.

a b c (Å): 7.837 10.354 10.354
angles (deg): 120.00 90.00 90.00
Sites, in units of the cell vectors:
1 O 0.750 0.479 0.325
2 O 0.076 0.906 0.254
3 O 0.576 0.254 0.348
4 O 0.750 0.466 0.592
5 O 0.076 0.348 0.094
6 O 0.750 0.126 0.534
7 O 0.750 0.408 0.874
8 O 0.250 0.874 0.466
9 O 0.424 0.906 0.254
10 O 0.576 0.652 0.906
11 O 0.924 0.094 0.746
12 O 0.424 0.348 0.094
13 O 0.250 0.154 0.479
14 O 0.424 0.746 0.652
15 O 0.576 0.094 0.746
16 O 0.250 0.592 0.126
17 O 0.076 0.746 0.652
18 O 0.250 0.325 0.846
19 O 0.750 0.675 0.154
20 O 0.250 0.534 0.408
21 O 0.924 0.254 0.348
22 O 0.250 0.521 0.675
23 O 0.750 0.846 0.521
24 O 0.924 0.652 0.906
25 Ba 0.500 0.333 0.667
26 Ba 0.000 0.667 0.333
27 Ba 0.750 0.984 0.240
28 Ba 0.750 0.256 0.016
29 Ba 0.000 0.333 0.667
30 Ba 0.250 0.016 0.760
31 Ba 0.250 0.744 0.984
32 Ba 0.250 0.240 0.256
33 Ba 0.500 0.667 0.333
34 Ba 0.750 0.760 0.744
35 Cr 0.750 0.598 0.965
36 Cr 0.250 0.633 0.598
37 Cr 0.250 0.965 0.367
38 Cr 0.750 0.367 0.402
39 Cr 0.750 0.035 0.633
40 Cr 0.250 0.402 0.035
41 F 0.250 0.000 0.000
42 F 0.750 0.000 0.000

Computed properties:
magnetic moment	3.00	μB/f.u.
symmetry	P6_3/m, No. 176
formation energy without anion corrections	-2.8391	eV/atom

[4]
This record from Alexandria via LeMat-Bulk describes a crystal of HgIrPt relaxed with PBEsol. The functional is SCAN.

a b c (Å): 4.334 4.334 4.334
angles (deg): 60.00 60.00 60.00
Sites, in units of the cell vectors:
1 Hg 0.500 0.500 0.500
2 Pt 0.000 0.000 0.000
3 Ir 0.250 0.250 0.250

Computed properties:
magnetic moment	0.96	μB/f.u.
symmetry	F-43m, No. 216
formation enthalpy at 0 K	0.6624	eV per atom

[5]
This record from Alexandria via LeMat-Bulk describes a crystal of PbAu3C relaxed with PBEsol. The functional is SCAN.

a b c (Å): 4.440 4.440 4.440
angles (deg): 90.00 90.00 90.00
Sites, in units of the cell vectors:
1 Au 0.000 0.000 0.500
2 Au 0.500 0.000 0.000
3 Au 0.000 0.500 0.000
4 Pb 0.500 0.500 0.500
5 C 0.000 0.000 0.000

Computed properties:
magnetic moment	0.00	μB/f.u.
symmetry	Pm-3m, No. 221
formation enthalpy at 0 K	0.6736	eV per atom

[6]
This record from Alexandria via LeMat-Bulk describes a crystal of Tb3Mg relaxed with PBEsol. The functional is SCAN.

a b c (Å): 3.503 3.503 9.222
angles (deg): 90.00 90.00 90.00
Sites, in units of the cell vectors:
1 Tb 0.000 0.000 0.500
2 Tb 0.500 0.500 0.239
3 Tb 0.500 0.500 0.761
4 Mg 0.000 0.000 0.000

Computed properties:
magnetic moment	0.01	μB/f.u.
symmetry	P4/mmm, No. 123
formation enthalpy at 0 K	-0.0282	eV per atom

- What is the formula in the fourth record?
  HgIrPt

- Look up the magnetic moment of the fifth one.
  0.00 μB/f.u.

- What is the magnetic moment in the third record?
  3.00 μB/f.u.